#w
DyTlFeTe3 after structural relaxation, computed with GGA-PBE.

Structure (extended XYZ):
```
24
Lattice="-4.184 1.396 0.829 -1.491 -9.225 8.000 4.461 7.643 9.644" Properties=species:S:1:pos:R:3 pbc="T T T"
Te 0.857 0.940 8.816
Te -3.148 -2.048 5.783
Te 1.802 -0.776 16.471
Te -3.017 0.590 2.003
Te 1.806 4.980 6.805
Te -2.072 -1.126 9.658
Te 0.030 4.619 10.594
Te 1.933 1.862 12.691
Te -1.245 -4.805 7.880
Te -3.021 -5.165 11.669
Te -1.190 -0.806 13.568
Te -0.025 0.620 4.906
Tl -1.484 -2.499 2.789
Tl -1.154 3.209 6.995
Tl -0.061 -3.395 11.479
Tl 0.270 2.313 15.685
Dy 0.470 7.087 8.660
Dy -1.685 -7.273 9.814
Dy -0.351 -1.653 7.084
Dy -0.864 1.468 11.390
Fe -2.628 0.221 4.588
Fe -2.925 -3.622 9.558
Fe 1.710 3.437 8.916
Fe 1.413 -0.407 13.886
```

Values from the calculation:
Its density is 7.404 g cm⁻³.



#x
DyTlFeTe3 after structural relaxation, computed with GGA-PBE.

Structure (extended XYZ):
```
12
Lattice="9.483 0.000 0.000 0.000 4.248 0.000 -3.420 0.000 9.932" Properties=species:S:1:pos:R:3 pbc="T T T"
Dy 0.151 3.186 8.484
Dy 5.912 1.062 1.448
Te 2.358 1.062 8.340
Te 3.705 3.186 1.592
Te 5.772 1.062 4.589
Te 8.125 3.186 1.617
Te -2.062 1.062 8.315
Te 0.291 3.186 5.342
Fe 7.417 3.186 4.184
Fe -1.354 1.062 5.748
Tl 1.202 1.062 2.583
Tl 4.861 3.186 7.349
```

Values from the calculation:
Its density is 6.686 g cm⁻³.



Which structure wins on stability? #x wins.



#w
Dy3Ga3Ni2Ge after structural relaxation, computed with GGA-PBE.

Structure (extended XYZ):
```
9
Lattice="-5.980 -2.800 -4.105 2.923 -4.117 5.912 -2.189 1.528 2.146" Properties=species:S:1:pos:R:3 pbc="T T T"
Ga 1.813 -2.554 3.668
Ga -1.161 -2.626 0.686
Ga -3.710 -1.737 -2.547
Dy -2.918 -0.090 -0.179
Dy -3.219 -4.043 2.329
Dy -0.203 -0.492 2.877
Ge 0.000 0.000 0.000
Ni -4.107 -2.475 0.307
Ni -1.139 -2.914 3.646
```

Values from the calculation:
Its density is 8.210 g cm⁻³.



#x
Dy3Ga3Ni2Ge after structural relaxation, computed with GGA-PBE.

Structure (extended XYZ):
```
9
Lattice="7.255 0.000 0.000 -3.628 6.283 0.000 0.000 0.000 3.750" Properties=species:S:1:pos:R:3 pbc="T T T"
Ga 2.015 0.000 1.875
Ga -1.007 1.745 1.875
Ga 2.620 4.538 1.875
Dy -2.180 3.777 0.000
Dy 4.361 0.000 0.000
Dy 1.447 2.507 0.000
Ni 3.628 2.094 1.875
Ni 0.000 4.189 1.875
Ge 0.000 0.000 0.000
```

Values from the calculation:
Its density is 8.613 g cm⁻³.



Which structure wins on stability? #x wins.